one:
! PBE-GGA Tb2PmSc, optimized geometry; values from VASP
&SYSTEM
  ibrav = 0, nat = 4, ntyp = 3
/
ATOMIC_SPECIES
Sc 44.96 Sc.upf
Tb 158.93 Tb.upf
Pm 145.00 Pm.upf
ATOMIC_POSITIONS crystal
Sc 0.666 0.666 0.001
Tb 0.079 0.079 0.762
Pm 0.500 0.500 0.500
Tb 0.254 0.254 0.238
CELL_PARAMETERS angstrom
-0.257 0.891 3.415
2.596 -0.848 2.250
5.892 9.871 -0.297
! space group = R3m, No. 160

two:
! PBE-GGA Tb2PmSc, optimized geometry; values from VASP
&SYSTEM
  ibrav = 0, nat = 4, ntyp = 3
/
ATOMIC_SPECIES
Tb 158.93 Tb.upf
Sc 44.96 Sc.upf
Pm 145.00 Pm.upf
ATOMIC_POSITIONS crystal
Tb 0.000 0.500 0.000
Sc 0.500 0.500 0.500
Pm 0.500 0.000 0.000
Tb 0.000 0.000 0.500
CELL_PARAMETERS angstrom
-4.945 0.584 -0.418
-0.640 -4.830 0.816
-0.308 0.861 4.855
! space group = P4/mmm, No. 123

Energies in kJ/mol of atoms, measured from the most stable structure: one 0.6; two 0.0.

one:
! PBE-GGA Tb2PmSc, optimized geometry; values from VASP
&SYSTEM
  ibrav = 0, nat = 4, ntyp = 3
/
ATOMIC_SPECIES
Tb 158.93 Tb.upf
Sc 44.96 Sc.upf
Pm 145.00 Pm.upf
ATOMIC_POSITIONS crystal
Tb 0.746 0.746 0.762
Sc 0.000 0.000 0.000
Tb 0.254 0.254 0.238
Pm 0.500 0.500 0.500
CELL_PARAMETERS angstrom
-1.895 2.927 -0.486
-3.475 -0.219 -0.519
-3.514 1.653 10.894
! space group = R-3m, No. 166

two:
! PBE-GGA Tb2PmSc, optimized geometry; values from VASP
&SYSTEM
  ibrav = 0, nat = 8, ntyp = 3
/
ATOMIC_SPECIES
Tb 158.93 Tb.upf
Pm 145.00 Pm.upf
Sc 44.96 Sc.upf
ATOMIC_POSITIONS crystal
Tb 0.912 0.888 0.308
Tb 0.673 0.492 0.834
Tb 0.173 0.992 0.834
Pm 0.042 0.440 0.572
Sc 0.293 0.855 0.070
Sc 0.793 0.355 0.070
Tb 0.412 0.388 0.308
Pm 0.542 0.940 0.572
CELL_PARAMETERS angstrom
-2.596 -2.263 0.824
2.330 -0.623 5.630
-7.026 10.289 -1.507
! space group = Cm, No. 8

Energies in kJ/mol of atoms, measured from the most stable structure: one 1.1; two 0.0.

one:
! PBE-GGA Tb3Pm6Sc, optimized geometry; values from VASP
&SYSTEM
  ibrav = 0, nat = 10, ntyp = 3
/
ATOMIC_SPECIES
Pm 145.00 Pm.upf
Tb 158.93 Tb.upf
Sc 44.96 Sc.upf
ATOMIC_POSITIONS crystal
Pm 0.096 0.437 0.698
Pm 0.437 0.770 0.698
Pm 0.770 0.096 0.698
Tb 0.604 0.604 0.188
Pm 0.605 0.264 0.201
Pm 0.931 0.605 0.201
Tb 0.095 0.095 0.714
Tb 0.349 0.349 0.952
Sc 0.850 0.850 0.451
Pm 0.264 0.931 0.201
CELL_PARAMETERS angstrom
-6.914 -4.470 -5.466
2.472 -7.533 -5.899
-2.172 -6.534 -0.843
! space group = R3, No. 146

two:
! PBE-GGA Tb3Pm6Sc, optimized geometry; values from VASP
&SYSTEM
  ibrav = 0, nat = 20, ntyp = 3
/
ATOMIC_SPECIES
Tb 158.93 Tb.upf
Pm 145.00 Pm.upf
Sc 44.96 Sc.upf
ATOMIC_POSITIONS crystal
Tb 0.460 0.278 0.053
Tb 0.573 0.615 0.385
Tb 0.460 0.947 0.722
Pm 0.046 0.378 0.290
Pm 0.546 0.622 0.710
Pm 0.546 0.290 0.378
Sc 0.622 0.799 0.201
Pm 0.046 0.710 0.622
Tb 0.073 0.385 0.615
Tb 0.960 0.053 0.278
Sc 0.122 0.201 0.799
Pm 0.913 0.044 0.956
Pm 0.649 0.277 0.723
Tb 0.960 0.722 0.947
Pm 0.859 0.946 0.525
Pm 0.413 0.956 0.044
Pm 0.149 0.723 0.277
Pm 0.359 0.054 0.475
Pm 0.359 0.525 0.946
Pm 0.859 0.475 0.054
CELL_PARAMETERS angstrom
-3.811 -3.046 -3.941
-5.110 -4.731 8.598
-3.581 9.670 -4.011
! space group = Cmc2_1, No. 36

Energies in kJ/mol of atoms, measured from the most stable structure: one 7.7; two 0.0.

one:
! PBE-GGA Tb6Pm2Sc, optimized geometry; values from VASP
&SYSTEM
  ibrav = 0, nat = 18, ntyp = 3
/
ATOMIC_SPECIES
Pm 145.00 Pm.upf
Sc 44.96 Sc.upf
Tb 158.93 Tb.upf
ATOMIC_POSITIONS crystal
Pm 0.064 0.227 0.431
Sc 0.750 0.897 0.103
Tb 0.989 0.406 0.691
Pm 0.564 0.431 0.227
Tb 0.673 0.244 0.974
Tb 0.511 0.309 0.594
Tb 0.327 0.756 0.026
Tb 0.861 0.658 0.933
Tb 0.827 0.026 0.756
Tb 0.011 0.594 0.309
Tb 0.361 0.933 0.658
Tb 0.139 0.342 0.067
Tb 0.489 0.691 0.406
Pm 0.436 0.569 0.773
Pm 0.936 0.773 0.569
Tb 0.173 0.974 0.244
Tb 0.639 0.067 0.342
Sc 0.250 0.103 0.897
CELL_PARAMETERS angstrom
-4.071 4.257 1.519
2.235 0.012 9.738
6.743 7.136 1.852
! space group = C2/c, No. 15

two:
! PBE-GGA Tb6Pm2Sc, optimized geometry; values from VASP
&SYSTEM
  ibrav = 0, nat = 9, ntyp = 3
/
ATOMIC_SPECIES
Tb 158.93 Tb.upf
Pm 145.00 Pm.upf
Sc 44.96 Sc.upf
ATOMIC_POSITIONS crystal
Tb 0.836 0.020 0.671
Tb 0.836 0.651 0.671
Tb 0.500 0.300 0.000
Tb 0.164 0.349 0.329
Tb 0.164 0.980 0.329
Pm 0.666 0.666 0.333
Pm 0.334 0.334 0.667
Tb 0.500 0.700 0.000
Sc 0.000 0.000 0.000
CELL_PARAMETERS angstrom
3.383 -0.001 -0.681
-0.907 8.756 -4.512
0.308 -0.360 10.083
! space group = C2/m, No. 12

Energies in kJ/mol of atoms, measured from the most stable structure: one 0.0; two 9.6.

one:
! PBE-GGA Tb6Pm3Sc, optimized geometry; values from VASP
&SYSTEM
  ibrav = 0, nat = 20, ntyp = 3
/
ATOMIC_SPECIES
Pm 145.00 Pm.upf
Tb 158.93 Tb.upf
Sc 44.96 Sc.upf
ATOMIC_POSITIONS crystal
Pm 0.071 0.387 0.613
Pm 0.457 0.282 0.055
Tb 0.867 0.467 0.047
Tb 0.401 0.955 0.045
Tb 0.367 0.533 0.953
Sc 0.126 0.201 0.799
Tb 0.549 0.621 0.711
Tb 0.142 0.724 0.276
Tb 0.049 0.711 0.621
Tb 0.549 0.289 0.379
Pm 0.571 0.613 0.387
Tb 0.901 0.045 0.955
Pm 0.957 0.055 0.282
Tb 0.367 0.047 0.467
Tb 0.049 0.379 0.289
Pm 0.457 0.945 0.718
Tb 0.867 0.953 0.533
Tb 0.642 0.276 0.724
Pm 0.957 0.718 0.945
Sc 0.626 0.799 0.201
CELL_PARAMETERS angstrom
6.279 0.000 0.000
0.000 10.806 -1.641
0.000 -4.011 10.167
! space group = Cmc2_1, No. 36

two:
! PBE-GGA Tb6Pm3Sc, optimized geometry; values from VASP
&SYSTEM
  ibrav = 0, nat = 10, ntyp = 3
/
ATOMIC_SPECIES
Tb 158.93 Tb.upf
Pm 145.00 Pm.upf
Sc 44.96 Sc.upf
ATOMIC_POSITIONS crystal
Tb 0.772 0.093 0.699
Pm 0.350 0.350 0.949
Tb 0.436 0.772 0.699
Pm 0.604 0.604 0.188
Tb 0.606 0.264 0.202
Pm 0.096 0.096 0.712
Tb 0.093 0.436 0.699
Tb 0.264 0.928 0.202
Sc 0.850 0.850 0.449
Tb 0.928 0.606 0.202
CELL_PARAMETERS angstrom
8.701 0.000 4.618
3.126 8.121 4.618
2.220 1.524 6.325
! space group = R-3, No. 148

Energies in kJ/mol of atoms, measured from the most stable structure: one 0.0; two 9.2.

one:
! PBE-GGA Tb3Pm4Sc, optimized geometry; values from VASP
&SYSTEM
  ibrav = 0, nat = 8, ntyp = 3
/
ATOMIC_SPECIES
Pm 145.00 Pm.upf
Tb 158.93 Tb.upf
Sc 44.96 Sc.upf
ATOMIC_POSITIONS crystal
Pm 0.283 0.282 0.564
Pm 0.596 0.596 0.191
Pm 0.404 0.404 0.809
Tb 0.859 0.858 0.717
Sc 0.000 0.500 0.000
Tb 0.141 0.142 0.283
Pm 0.717 0.718 0.436
Tb 0.500 0.000 0.000
CELL_PARAMETERS angstrom
3.631 0.000 -0.417
-0.105 5.369 -0.909
-0.260 -0.460 13.635
! space group = C2/m, No. 12

two:
! PBE-GGA Tb3Pm4Sc, optimized geometry; values from VASP
&SYSTEM
  ibrav = 0, nat = 16, ntyp = 3
/
ATOMIC_SPECIES
Tb 158.93 Tb.upf
Pm 145.00 Pm.upf
Sc 44.96 Sc.upf
ATOMIC_POSITIONS crystal
Tb 0.478 0.380 0.750
Pm 0.486 0.870 0.257
Tb 0.478 0.380 0.250
Tb 0.978 0.620 0.250
Pm 0.986 0.130 0.757
Pm 0.486 0.870 0.743
Sc 0.646 0.618 0.500
Pm 0.655 0.130 0.500
Tb 0.978 0.620 0.750
Tb 0.649 0.622 0.000
Pm 0.155 0.870 0.000
Pm 0.638 0.128 0.000
Pm 0.138 0.872 0.500
Pm 0.986 0.130 0.243
Sc 0.146 0.382 0.000
Tb 0.149 0.378 0.500
CELL_PARAMETERS angstrom
6.261 0.000 0.000
0.000 7.262 0.000
0.000 0.000 11.439
! space group = Pmn2_1, No. 31

Energies in kJ/mol of atoms, measured from the most stable structure: one 10.8; two 0.0.

one:
! PBE-GGA Tb7Pm4Sc, optimized geometry; values from VASP
&SYSTEM
  ibrav = 0, nat = 12, ntyp = 3
/
ATOMIC_SPECIES
Pm 145.00 Pm.upf
Tb 158.93 Tb.upf
Sc 44.96 Sc.upf
ATOMIC_POSITIONS crystal
Pm 0.459 0.348 0.722
Tb 0.805 0.501 0.951
Pm 0.315 0.164 0.304
Tb 0.500 0.000 0.000
Tb 0.272 0.813 0.620
Pm 0.541 0.652 0.278
Tb 0.195 0.499 0.049
Sc 0.000 0.000 0.000
Tb 0.944 0.676 0.366
Tb 0.728 0.187 0.380
Pm 0.685 0.836 0.696
Tb 0.056 0.324 0.634
CELL_PARAMETERS angstrom
-4.039 -2.531 -4.850
1.652 -6.229 0.692
-10.319 -5.672 1.009
! space group = P-1, No. 2

two:
! PBE-GGA Tb7Pm4Sc, optimized geometry; values from VASP
&SYSTEM
  ibrav = 0, nat = 12, ntyp = 3
/
ATOMIC_SPECIES
Tb 158.93 Tb.upf
Pm 145.00 Pm.upf
Sc 44.96 Sc.upf
ATOMIC_POSITIONS crystal
Tb 0.165 0.102 0.568
Tb 0.835 0.898 0.432
Tb 0.500 0.000 0.000
Tb 0.673 0.465 0.188
Pm 0.586 0.736 0.092
Tb 0.041 0.371 0.547
Tb 0.327 0.535 0.812
Sc 0.000 0.000 0.000
Pm 0.414 0.264 0.908
Pm 0.253 0.783 0.710
Tb 0.959 0.629 0.453
Pm 0.747 0.217 0.290
CELL_PARAMETERS angstrom
5.353 0.000 0.000
2.676 12.911 -1.824
2.676 -0.272 5.701
! space group = C2/m, No. 12

Energies in kJ/mol of atoms, measured from the most stable structure: one 0.0; two 8.6.

one:
! PBE-GGA Tb4Pm5Sc, optimized geometry; values from VASP
&SYSTEM
  ibrav = 0, nat = 10, ntyp = 3
/
ATOMIC_SPECIES
Sc 44.96 Sc.upf
Tb 158.93 Tb.upf
Pm 145.00 Pm.upf
ATOMIC_POSITIONS crystal
Sc 0.000 0.000 0.000
Tb 0.000 0.000 0.602
Pm 0.500 0.500 0.704
Tb 0.000 0.000 0.194
Pm 0.500 0.500 0.500
Pm 0.500 0.500 0.092
Pm 0.500 0.500 0.296
Pm 0.500 0.500 0.908
Tb 0.000 0.000 0.806
Tb 0.000 0.000 0.398
CELL_PARAMETERS angstrom
3.607 0.000 0.000
0.000 3.607 0.000
0.000 0.000 24.923
! space group = P4/mmm, No. 123

two:
! PBE-GGA Tb4Pm5Sc, optimized geometry; values from VASP
&SYSTEM
  ibrav = 0, nat = 10, ntyp = 3
/
ATOMIC_SPECIES
Pm 145.00 Pm.upf
Tb 158.93 Tb.upf
Sc 44.96 Sc.upf
ATOMIC_POSITIONS crystal
Pm 0.185 0.926 0.371
Tb 0.917 0.287 0.835
Tb 0.604 0.202 0.209
Tb 0.083 0.713 0.165
Pm 0.789 0.616 0.579
Sc 0.500 0.000 0.000
Pm 0.211 0.384 0.421
Tb 0.396 0.798 0.791
Pm 0.500 0.500 0.000
Pm 0.815 0.074 0.629
CELL_PARAMETERS angstrom
3.485 -0.001 -0.707
0.055 11.454 0.279
-0.135 2.506 8.265
! space group = C2/m, No. 12

Energies in kJ/mol of atoms, measured from the most stable structure: one 0.0; two 2.1.

one:
! PBE-GGA TbPm4Sc, optimized geometry; values from VASP
&SYSTEM
  ibrav = 0, nat = 6, ntyp = 3
/
ATOMIC_SPECIES
Tb 158.93 Tb.upf
Pm 145.00 Pm.upf
Sc 44.96 Sc.upf
ATOMIC_POSITIONS crystal
Tb 0.500 0.500 0.500
Pm 0.837 0.837 0.500
Pm 0.163 0.163 0.500
Pm 0.667 0.667 0.000
Sc 0.000 0.000 0.000
Pm 0.333 0.333 0.000
CELL_PARAMETERS angstrom
-2.203 3.898 4.252
-5.000 3.405 -1.244
-2.489 -4.074 3.928
! space group = C2/m, No. 12

two:
! PBE-GGA TbPm4Sc, optimized geometry; values from VASP
&SYSTEM
  ibrav = 0, nat = 12, ntyp = 3
/
ATOMIC_SPECIES
Pm 145.00 Pm.upf
Sc 44.96 Sc.upf
Tb 158.93 Tb.upf
ATOMIC_POSITIONS crystal
Pm 0.183 0.724 0.947
Pm 0.228 0.284 0.456
Pm 0.228 0.672 0.456
Sc 0.500 0.000 0.000
Pm 0.236 0.276 0.053
Pm 0.772 0.328 0.544
Pm 0.817 0.276 0.053
Sc 0.500 0.500 0.000
Tb 0.500 0.000 0.500
Pm 0.772 0.716 0.544
Tb 0.000 0.000 0.500
Pm 0.764 0.724 0.947
CELL_PARAMETERS angstrom
7.963 0.000 0.000
0.000 8.604 0.000
-3.982 -4.302 5.857
! space group = Imma, No. 74

Energies in kJ/mol of atoms, measured from the most stable structure: one 0.0; two 31.6.

one:
! PBE-GGA Tb5PmSc4, optimized geometry; values from VASP
&SYSTEM
  ibrav = 0, nat = 10, ntyp = 3
/
ATOMIC_SPECIES
Tb 158.93 Tb.upf
Sc 44.96 Sc.upf
Pm 145.00 Pm.upf
ATOMIC_POSITIONS crystal
Tb 0.098 0.607 0.099
Sc 0.509 0.584 0.301
Sc 0.810 0.699 0.584
Tb 0.678 0.000 0.000
Pm 0.223 0.000 0.000
Tb 0.196 0.901 0.607
Sc 0.094 0.301 0.416
Tb 0.704 0.099 0.393
Tb 0.803 0.393 0.901
Sc 0.395 0.416 0.699
CELL_PARAMETERS angstrom
6.189 0.000 0.000
3.095 6.957 0.000
3.095 0.000 6.957
! space group = I4, No. 79

two:
! PBE-GGA Tb5PmSc4, optimized geometry; values from VASP
&SYSTEM
  ibrav = 0, nat = 20, ntyp = 3
/
ATOMIC_SPECIES
Tb 158.93 Tb.upf
Sc 44.96 Sc.upf
Pm 145.00 Pm.upf
ATOMIC_POSITIONS crystal
Tb 0.750 0.702 0.699
Tb 0.250 0.202 0.801
Tb 0.250 0.798 0.801
Tb 0.750 0.298 0.301
Sc 0.750 0.000 0.245
Sc 0.250 0.308 0.500
Tb 0.250 0.202 0.199
Tb 0.250 0.798 0.199
Sc 0.250 0.692 0.500
Pm 0.250 0.000 0.000
Sc 0.750 0.000 0.755
Tb 0.251 0.000 0.500
Pm 0.750 0.500 0.500
Tb 0.750 0.702 0.301
Sc 0.250 0.500 0.745
Tb 0.749 0.500 0.000
Tb 0.750 0.298 0.699
Sc 0.750 0.192 0.000
Sc 0.250 0.500 0.255
Sc 0.750 0.808 0.000
CELL_PARAMETERS angstrom
5.395 0.000 0.000
0.000 11.191 0.000
0.000 0.000 10.173
! space group = Pmmn, No. 59

Energies in kJ/mol of atoms, measured from the most stable structure: one 5.4; two 0.0.